Material: TiVSbO6
Method: DFT, GGA+U
State: optimized geometry

E	-7.5329	eV per atom
V	11.256	Å³ per atom
space group	P-31c

Unit cell a=5.1221 b=5.1221 c=8.9172 alpha=90.00 beta=90.00 gamma=120.00
Closest atoms and distances in Å follow each position.
Element x y z (fractional)
Ti  0.3333  0.6667  0.2500  6 O 1.98
Ti  0.6667  0.3333  0.7500  6 O 1.98
V  0.0000  0.0000  0.0000  6 O 2.10
V  0.0000  0.0000  0.5000  6 O 2.10
Sb  0.3333  0.6667  0.7500  6 O 2.01
Sb  0.6667  0.3333  0.2500  6 O 2.01
O  0.0046  0.3431  0.1304  1 Ti 1.98, 1 Sb 2.01, 1 V 2.10
O  0.0046  0.6615  0.3696  1 Ti 1.98, 1 Sb 2.01, 1 V 2.10
O  0.3385  0.3431  0.3696  1 Ti 1.98, 1 Sb 2.01, 1 V 2.10
O  0.3385  0.9954  0.1304  1 Ti 1.98, 1 Sb 2.01, 1 V 2.10
O  0.3431  0.0046  0.6304  1 Ti 1.98, 1 Sb 2.01, 1 V 2.10
O  0.3431  0.3385  0.8696  1 Ti 1.98, 1 Sb 2.01, 1 V 2.10
O  0.6569  0.6615  0.1304  1 Ti 1.98, 1 Sb 2.01, 1 V 2.10
O  0.6569  0.9954  0.3696  1 Ti 1.98, 1 Sb 2.01, 1 V 2.10
O  0.6615  0.0046  0.8696  1 Ti 1.98, 1 Sb 2.01, 1 V 2.10
O  0.6615  0.6569  0.6304  1 Ti 1.98, 1 Sb 2.01, 1 V 2.10
O  0.9954  0.3385  0.6304  1 Ti 1.98, 1 Sb 2.01, 1 V 2.10
O  0.9954  0.6569  0.8696  1 Ti 1.98, 1 Sb 2.01, 1 V 2.10